Here is a relaxed structure of Ce2Zn5Au5 from Alexandria via LeMat-Bulk. Energies are from GGA-PBE.

Geometry as POSCAR:
```
Ce2Zn5Au5
1.0
4.531 0.000 0.000
0.000 5.384 0.000
0.000 0.000 9.608
Ce Zn Au
2 5 5
Direct
0.000 0.000 0.000
0.000 0.500 0.500
0.500 0.000 0.500
0.500 0.250 0.253
0.500 0.250 0.747
0.500 0.750 0.253
0.500 0.750 0.747
0.000 0.000 0.334
0.000 0.000 0.666
0.000 0.500 0.180
0.000 0.500 0.820
0.500 0.500 0.000
```

* DFT formation energy: -0.4402 eV/atom
* total DFT energy (no corrections): -3.326 eV/atom